Mo3Ir5: PBEsol geometry, meta-GGA SCAN.

Structure (CIF):
```
data_Mo3Ir5
_chemical_formula_sum 'Mo3 Ir5'
_symmetry_space_group_name_H-M 'P 1'
_symmetry_Int_Tables_number 1
_cell_length_a 5.4551
_cell_length_b 5.4551
_cell_length_c 3.8653
_cell_angle_alpha 90.00
_cell_angle_beta 90.00
_cell_angle_gamma 90.22
loop_
_symmetry_equiv_pos_as_xyz
'x,y,z'
loop_
_atom_site_label
_atom_site_fract_x
_atom_site_fract_y
_atom_site_fract_z
_atom_site_occupancy
Mo1 0.0000 0.0000 0.0000 1
Mo2 0.2488 0.2488 0.5000 1
Mo3 0.7512 0.7512 0.5000 1
Ir1 0.0000 0.5000 0.0000 1
Ir2 0.2482 0.7518 0.5000 1
Ir3 0.5000 0.0000 0.0000 1
Ir4 0.5000 0.5000 0.0000 1
Ir5 0.7518 0.2482 0.5000 1
```

Values from the calculation:
E_form   -0.3351 eV/atom
Total DFT energy (no corrections)   -57.854 eV per atom
D(E_F)   4.98 states/eV per cell
Total magnetization   0.00 μB per cell
V   115.0 Å³ per cell